Material: Sr3TlRh2
Method: DFT, GGA-PBE
State: relaxed

Cell: 7.4251 7.4251 7.4251 Å, 74.49 74.49 74.49°
Closest atoms and distances in Å follow each position.
Atoms (fractional coordinates):
1 Sr 0.9415 0.5585 0.2500  4 Rh 3.07-3.39, 2 Tl 3.38
2 Sr 0.2500 0.9415 0.5585  4 Rh 3.07-3.39, 2 Tl 3.38
3 Sr 0.5585 0.2500 0.9415  4 Rh 3.07-3.39, 2 Tl 3.38
4 Sr 0.0585 0.4415 0.7500  4 Rh 3.07-3.39, 2 Tl 3.38
5 Sr 0.7500 0.0585 0.4415  4 Rh 3.07-3.39, 2 Tl 3.38
6 Sr 0.4415 0.7500 0.0585  4 Rh 3.07-3.39, 2 Tl 3.38
7 Tl 0.5000 0.5000 0.5000  2 Rh 2.67
8 Tl 0.0000 0.0000 0.0000  2 Rh 2.67
9 Rh 0.6676 0.6676 0.6676  1 Rh 2.63, 1 Tl 2.67
10 Rh 0.8324 0.8324 0.8324  1 Rh 2.63, 1 Tl 2.67
11 Rh 0.1676 0.1676 0.1676  1 Rh 2.63, 1 Tl 2.67
12 Rh 0.3324 0.3324 0.3324  1 Rh 2.63, 1 Tl 2.67

E_form in kJ/mol of atoms: -22.9



Material: ZrPW2
Method: DFT, GGA-PBE
State: relaxed

Cell: 4.2835 3.2418 5.0924 Å, 72.46 90.00 90.00°
Closest atoms and distances in Å follow each position.
Atoms (fractional coordinates):
1 Zr 0.0000 0.5046 0.5769  3 W 2.59-2.86, 4 P 2.77-2.80
2 P 0.5000 0.9424 0.7252  5 W 2.63-2.78, 4 Zr 2.77-2.80
3 W 0.0000 0.8147 0.0457  3 Zr 2.59-2.86, 2 P 2.65, 4 W 2.69-2.79
4 W 0.5000 0.2383 0.1522  3 P 2.63-2.78, 4 W 2.69-2.79

E_form in kJ/mol of atoms: -10.1



Material: Mn2FeRu
Method: DFT, GGA-PBE
State: relaxed

Cell: 4.8244 4.8244 4.8244 Å, 144.86 129.79 62.76°
Closest atoms and distances in Å follow each position.
Atoms (fractional coordinates):
1 Fe 0.2460 0.7460 0.5000  6 Mn 2.49-2.51, 2 Ru 2.55
2 Mn 0.0006 0.0006 0.0000  2 Fe 2.49, 2 Mn 2.51, 4 Ru 2.51
3 Mn 0.7530 0.2530 0.5000  2 Mn 2.51, 4 Fe 2.51, 2 Ru 2.54
4 Ru 0.5004 0.5004 0.0000  6 Mn 2.51-2.54, 2 Fe 2.55

E above lowest polymorph in eV/f.u.: 0.559
E_form in kJ/mol of atoms: 14.9



Material: La3TbDy2Y6
Method: DFT, GGA-PBE
State: relaxed

Cell: 6.2612 6.2612 11.9051 Å, 95.02 95.02 120.00°
Closest atoms and distances in Å follow each position.
Atoms (fractional coordinates):
1 La 0.1668 0.8332 0.5000  6 La 3.61-3.62, 6 Y 3.65
2 La 0.8332 0.1668 0.5000  6 La 3.61-3.62, 6 Y 3.65
3 La 0.5000 0.5000 0.5000  6 La 3.61-3.62, 6 Y 3.65
4 Tb 0.0000 0.0000 0.0000  6 Y 3.55, 6 Dy 3.61
5 Dy 0.3333 0.6667 0.0000  6 Y 3.55, 3 Dy 3.61-3.62, 3 Tb 3.61
6 Dy 0.6667 0.3333 0.0000  6 Y 3.55, 3 Dy 3.61-3.62, 3 Tb 3.61
7 Y 0.9186 0.5852 0.7552  2 Dy 3.55, 1 Tb 3.55, 6 Y 3.61-3.62, 3 La 3.65
8 Y 0.7480 0.7480 0.2449  2 Dy 3.55, 1 Tb 3.55, 6 Y 3.61-3.62, 3 La 3.65
9 Y 0.0814 0.4148 0.2448  2 Dy 3.55, 1 Tb 3.55, 6 Y 3.61-3.62, 3 La 3.65
10 Y 0.5852 0.9186 0.7552  2 Dy 3.55, 1 Tb 3.55, 6 Y 3.61-3.62, 3 La 3.65
11 Y 0.2520 0.2520 0.7551  2 Dy 3.55, 1 Tb 3.55, 6 Y 3.61-3.62, 3 La 3.65
12 Y 0.4148 0.0814 0.2448  2 Dy 3.55, 1 Tb 3.55, 6 Y 3.61-3.62, 3 La 3.65

E_form in kJ/mol of atoms: 1.9



Material: Na2MnVS4
Method: DFT, GGA-PBE
State: relaxed

Cell: 6.9982 6.8872 7.6308 Å, 90.00 90.00 90.00°
Closest atoms and distances in Å follow each position.
Atoms (fractional coordinates):
1 Na 0.5473 0.2280 0.2510  5 S 2.86-3.19
2 Na 0.5473 0.2280 0.7490  5 S 2.86-3.19
3 Na 0.0473 0.7720 0.7510  5 S 2.86-3.19
4 Na 0.0473 0.7720 0.2490  5 S 2.86-3.19
5 Mn 0.9857 0.1950 0.5000  4 S 2.34-2.36
6 Mn 0.4857 0.8050 0.0000  4 S 2.34-2.36
7 V 0.4860 0.8014 0.5000  4 S 2.20-2.22
8 V 0.9860 0.1986 0.0000  4 S 2.20-2.22
9 S 0.2759 0.0722 0.0000  1 V 2.21, 1 Mn 2.35
10 S 0.7759 0.9278 0.5000  1 V 2.21, 1 Mn 2.35
11 S 0.2887 0.0497 0.5000  1 V 2.20, 1 Mn 2.34
12 S 0.7887 0.9503 0.0000  1 V 2.20, 1 Mn 2.34
13 S 0.4345 0.6271 0.7398  1 V 2.22, 1 Mn 2.36
14 S 0.9345 0.3729 0.2398  1 V 2.22, 1 Mn 2.36
15 S 0.9345 0.3729 0.7602  1 V 2.22, 1 Mn 2.36
16 S 0.4345 0.6271 0.2602  1 V 2.22, 1 Mn 2.36

Formation energy from raw total energies in meV per atom: -858



Material: Cs2KDyCl6
Method: DFT, GGA-PBE
State: relaxed

Cell: 8.0166 8.0166 8.0166 Å, 60.00 60.00 60.00°
Closest atoms and distances in Å follow each position.
Atoms (fractional coordinates):
1 Cs 0.7500 0.7500 0.7500  12 Cl 4.01
2 Cs 0.2500 0.2500 0.2500  12 Cl 4.01
3 K 0.5000 0.5000 0.5000  6 Cl 3.03
4 Cl 0.2328 0.2328 0.7672  1 Dy 2.64
5 Cl 0.2328 0.7672 0.7672  1 Dy 2.64
6 Cl 0.7672 0.2328 0.7672  1 Dy 2.64
7 Cl 0.7672 0.2328 0.2328  1 Dy 2.64
8 Cl 0.2328 0.7672 0.2328  1 Dy 2.64
9 Cl 0.7672 0.7672 0.2328  1 Dy 2.64
10 Dy 0.0000 0.0000 0.0000  6 Cl 2.64

Formation energy from raw total energies in meV per atom: -2164



Material: Sr2Cu3P4Pd
Method: DFT, GGA-PBE
State: relaxed

Cell: 4.2265 4.2265 9.7276 Å, 90.00 90.00 90.00°
Closest atoms and distances in Å follow each position.
Atoms (fractional coordinates):
1 Sr 0.5000 0.0000 0.2450  8 P 3.18-3.21, 7 Cu 3.23-3.55, 2 Pd 3.26
2 Sr 0.0000 0.5000 0.7550  8 P 3.18-3.21, 7 Cu 3.23-3.55, 2 Pd 3.26
3 Cu 0.0000 0.0000 0.5000  4 P 2.48
4 Cu 0.5000 0.0000 0.8803  5 P 2.40-2.41
5 Cu 0.0000 0.5000 0.1197  5 P 2.40-2.41
6 P 0.5000 0.5000 0.0000  4 Cu 2.41
7 P 0.0000 0.0000 0.0000  4 Cu 2.41
8 P 0.5000 0.0000 0.6337  3 Cu 2.40-2.48, 2 Pd 2.48
9 P 0.0000 0.5000 0.3663  3 Cu 2.40-2.48, 2 Pd 2.48
10 Pd 0.5000 0.5000 0.5000  4 P 2.48

E_form in kJ/mol of atoms: -56.3



Material: LiTeAs
Method: DFT, GGA-PBE
State: relaxed

Cell: 8.5103 8.5118 2.9724 Å, 79.92 79.91 20.11°
Closest atoms and distances in Å follow each position.
Atoms (fractional coordinates):
1 As 0.9576 0.9575 0.0424  4 Li 2.79, 4 As 2.97
2 Li 0.3460 0.3461 0.6540  4 As 2.79, 4 Li 2.97
3 Te 0.6964 0.6963 0.3036  4 Te 2.97, 4 Li 3.24

E above lowest polymorph in eV/f.u.: 0.318
Formation energy from raw total energies in meV per atom: -152



Material: Ba3Tm2UN6
Method: DFT, GGA-PBE
State: relaxed

Cell: 6.1808 6.1808 6.6918 Å, 98.80 98.80 119.73°
Closest atoms and distances in Å follow each position.
Atoms (fractional coordinates):
1 Ba 0.1729 0.8271 0.5000  6 N 2.83-2.97
2 Ba 0.8271 0.1729 0.5000  6 N 2.83-2.97
3 Ba 0.5000 0.5000 0.5000  6 N 2.84-2.91
4 Tm 0.3342 0.6658 0.0000  6 N 2.44-2.46
5 Tm 0.6658 0.3342 0.0000  6 N 2.44-2.46
6 U 0.0000 0.0000 0.0000  6 N 2.23-2.32
7 N 0.9389 0.6318 0.8175  1 U 2.23, 2 Tm 2.44-2.45
8 N 0.7517 0.7517 0.1976  1 U 2.32, 2 Tm 2.46
9 N 0.0611 0.3682 0.1825  1 U 2.23, 2 Tm 2.44-2.45
10 N 0.6318 0.9389 0.8175  1 U 2.23, 2 Tm 2.44-2.45
11 N 0.2483 0.2483 0.8024  1 U 2.32, 2 Tm 2.46
12 N 0.3682 0.0611 0.1825  1 U 2.23, 2 Tm 2.44-2.45

Formation energy from raw total energies in meV per atom: -1111



Material: LiNb2Br2
Method: DFT, GGA-PBE
State: relaxed

Cell: 7.8427 7.8427 3.0781 Å, 90.00 90.00 90.00°
Closest atoms and distances in Å follow each position.
Atoms (fractional coordinates):
1 Nb 0.1707 0.6707 0.5000  6 Br 2.64-2.86
2 Nb 0.6707 0.8293 0.5000  6 Br 2.64-2.86
3 Nb 0.8293 0.3293 0.5000  6 Br 2.64-2.86
4 Nb 0.3293 0.1707 0.5000  6 Br 2.64-2.86
5 Br 0.3646 0.8646 0.0000  6 Nb 2.64-2.86
6 Br 0.8646 0.6354 0.0000  6 Nb 2.64-2.86
7 Br 0.6354 0.1354 0.0000  6 Nb 2.64-2.86
8 Br 0.1354 0.3646 0.0000  6 Nb 2.64-2.86
9 Li 0.0000 0.0000 0.0000  4 Br 3.05, 2 Li 3.08, 8 Nb 3.29
10 Li 0.5000 0.5000 0.0000  4 Br 3.05, 2 Li 3.08, 8 Nb 3.29

E above lowest polymorph in eV/f.u.: 1.631
Formation energy from raw total energies in meV per atom: 497



Material: Tb4Se3O4
Method: DFT, GGA-PBE
State: relaxed

Cell: 3.9817 7.4617 7.6294 Å, 119.28 105.13 90.00°
Closest atoms and distances in Å follow each position.
Atoms (fractional coordinates):
1 Tb 0.2211 0.7211 0.4422  6 O 2.49-2.71
2 Tb 0.7789 0.2789 0.5578  6 O 2.49-2.71
3 Tb 0.5000 0.7539 0.0000  2 O 2.27
4 Tb 0.5000 0.2461 0.0000  2 O 2.27
5 Se 0.0978 0.0978 0.1955  1 Se 2.48
6 Se 0.9022 0.9022 0.8045  1 Se 2.48
7 Se 0.0000 0.5000 0.0000  6 Tb 2.75-2.81
8 O 0.3257 0.1416 0.6513  3 Tb 2.27-2.49
9 O 0.6743 0.4902 0.3487  3 Tb 2.27-2.49
10 O 0.6743 0.8584 0.3487  3 Tb 2.27-2.49
11 O 0.3257 0.5098 0.6513  3 Tb 2.27-2.49

Formation energy from raw total energies in meV per atom: -2311



Material: Co2NiMo
Method: DFT, GGA-PBE
State: relaxed

Cell: 3.6516 3.6516 3.5135 Å, 90.00 90.00 90.00°
Closest atoms and distances in Å follow each position.
Atoms (fractional coordinates):
1 Ni 0.0000 0.5000 0.5000  8 Co 2.53, 4 Mo 2.58
2 Mo 0.5000 0.0000 0.5000  8 Co 2.53, 4 Ni 2.58
3 Co 0.0000 0.0000 0.0000  4 Mo 2.53, 4 Ni 2.53, 4 Co 2.58
4 Co 0.5000 0.5000 0.0000  4 Mo 2.53, 4 Ni 2.53, 4 Co 2.58

E above lowest polymorph in eV/f.u.: 0.072
E_form in kJ/mol of atoms: 0.5